No. 1
GGA-PBE YCuW2, relaxed; Fermi-level density of states = 2.647 states/eV/cell; DFT formation energy = 0.56 eV per atom; calculated total energy = -34.2 eV per formula unit; spin magnetization = 0.000 μB per atom; energy above the lowest structure with this stoichiometry = 0.279 eV per atom; symmetry = P4/mmm (123)
1.0
-0.076 0.474 2.764
1.659 -2.222 0.429
7.113 5.176 -0.693
W Y Cu
2 1 1
Direct
0.000 0.000 0.962
0.000 0.000 0.538
0.500 0.500 0.250
0.500 0.500 0.750

No. 2
GGA-PBE YCu3W, relaxed; Fermi-level density of states = 2.648 states/eV/cell; DFT formation energy = 2.01 eV per atom; calculated total energy = -21.7 eV per formula unit; spin magnetization = 0.000 μB per atom; energy above the lowest structure with this stoichiometry = 1.168 eV per atom; symmetry = Pm-3m (221)
1.0
4.638 0.000 0.000
0.000 4.638 0.000
0.000 0.000 4.638
Cu Y W
3 1 1
Direct
0.000 0.000 0.500
0.000 0.500 0.000
0.500 0.000 0.000
0.000 0.000 0.000
0.500 0.500 0.500

No. 3
GGA-PBE Y2CuW, relaxed; Fermi-level density of states = 3.138 states/eV/cell; DFT formation energy = 0.59 eV per atom; calculated total energy = -27.6 eV per formula unit; spin magnetization = 0.000 μB per atom; energy above the lowest structure with this stoichiometry = 0.321 eV per atom; symmetry = R3m (160)
1.0
-6.656 1.438 7.244
-8.155 -0.927 5.611
-5.904 -1.661 7.825
Y Cu W
2 1 1
Direct
0.013 0.013 0.013
0.235 0.235 0.235
0.490 0.490 0.490
0.761 0.761 0.761

No. 4
GGA-PBE YCuW2, relaxed; Fermi-level density of states = 2.626 states/eV/cell; DFT formation energy = 0.50 eV per atom; calculated total energy = -34.5 eV per formula unit; spin magnetization = 0.000 μB per atom; energy above the lowest structure with this stoichiometry = 0.225 eV per atom; symmetry = P4/mmm (123)
1.0
-2.811 -3.138 2.317
3.103 -2.168 0.829
0.504 1.980 3.293
W Cu Y
2 1 1
Direct
0.000 0.000 0.000
0.000 0.500 0.500
0.500 0.000 0.500
0.500 0.500 0.000

No. 5
GGA-PBE YCuW2, relaxed; Fermi-level density of states = 2.860 states/eV/cell; DFT formation energy = 0.71 eV per atom; calculated total energy = -33.6 eV per formula unit; spin magnetization = 0.000 μB per atom; energy above the lowest structure with this stoichiometry = 0.430 eV per atom; symmetry = Cmmm (65)
1.0
5.472 0.001 0.000
-2.709 4.754 0.000
0.000 0.000 2.757
W Y Cu
2 1 1
Direct
0.500 0.500 0.000
0.000 0.000 0.000
0.500 0.000 0.500
0.000 0.500 0.500

No. 6
GGA-PBE Y3CuW, relaxed; Fermi-level density of states = 5.838 states/eV/cell; DFT formation energy = 0.90 eV per atom; calculated total energy = -31.9 eV per formula unit; spin magnetization = 0.463 μB per atom; energy above the lowest structure with this stoichiometry = 0.101 eV per atom; symmetry = Pm-3m (221)
1.0
5.179 0.000 0.000
0.000 5.179 0.000
0.000 0.000 5.179
Y Cu W
3 1 1
Direct
0.000 0.000 0.500
0.000 0.500 0.000
0.500 0.000 0.000
0.000 0.000 0.000
0.500 0.500 0.500

No. 7
GGA-PBE Y2CuW, relaxed; Fermi-level density of states = 5.037 states/eV/cell; DFT formation energy = 0.35 eV per atom; calculated total energy = -28.6 eV per formula unit; spin magnetization = 0.000 μB per atom; energy above the lowest structure with this stoichiometry = 0.077 eV per atom; symmetry = Pmm2 (25)
1.0
3.313 0.000 0.000
0.000 3.294 0.000
0.000 0.000 8.231
W Y Cu
1 2 1
Direct
0.500 0.500 0.693
0.500 0.500 0.318
0.000 0.000 0.940
0.000 0.000 0.550

No. 8
GGA-PBE Y2CuW, relaxed; Fermi-level density of states = 5.463 states/eV/cell; DFT formation energy = 0.64 eV per atom; calculated total energy = -27.4 eV per formula unit; spin magnetization = 0.000 μB per atom; energy above the lowest structure with this stoichiometry = 0.369 eV per atom; symmetry = F-43m (216)
1.0
4.878 0.000 0.000
2.439 4.225 0.000
2.439 1.408 3.983
Y W Cu
2 1 1
Direct
0.000 0.000 0.000
0.250 0.250 0.250
0.750 0.750 0.750
0.500 0.500 0.500